#P
DFT (PBE) results for a relaxed CuTe2MoN crystal.

Cell and atoms, written as CIF:
```
data_CuTe2MoN
_cell_length_a 5.3962
_cell_length_b 5.3962
_cell_length_c 3.7848
_cell_angle_alpha 90.00
_cell_angle_beta 90.00
_cell_angle_gamma 90.00
_symmetry_space_group_name_H-M 'P 4/m m m'
_symmetry_Int_Tables_number 123
_symmetry_space_group_name_Hall '-P 4 2'
loop_
_atom_site_label
_atom_site_type_symbol
_atom_site_fract_x
_atom_site_fract_y
_atom_site_fract_z
_atom_site_occupancy
Cu1 Cu 0.0000 0.0000 0.0000 1
Te1 Te 0.0000 0.5000 0.5000 1
Mo1 Mo 0.5000 0.5000 0.5000 1
N1 N 0.5000 0.5000 0.0000 1
```

## Properties
V = 110.2 Å³ per cell
Total magnetization = 0.0 μB/f.u.
Fermi-level density of states = 3.79 states/eV/cell

---

#Q
DFT (PBE) results for a relaxed CuTe2MoN crystal.

Cell and atoms, written as CIF:
```
data_CuTe2MoN
_cell_length_a 5.2889
_cell_length_b 5.2889
_cell_length_c 3.5176
_cell_angle_alpha 90.00
_cell_angle_beta 90.00
_cell_angle_gamma 90.00
_symmetry_space_group_name_H-M 'P 4/m m m'
_symmetry_Int_Tables_number 123
_symmetry_space_group_name_Hall '-P 4 2'
loop_
_atom_site_label
_atom_site_type_symbol
_atom_site_fract_x
_atom_site_fract_y
_atom_site_fract_z
_atom_site_occupancy
Cu1 Cu 0.0000 0.0000 0.0000 1
Te1 Te 0.0000 0.5000 0.0000 1
Mo1 Mo 0.5000 0.5000 0.5000 1
N1 N 0.0000 0.0000 0.5000 1
```

## Properties
V = 98.4 Å³ per cell
Total magnetization = 3.3 μB/f.u.
Fermi-level density of states = 4.79 states/eV/cell

---

Which of them is most stable, and which least? Most stable: #P; least stable: #Q.

---

#P
DFT (PBE) results for a relaxed Na2CuMo crystal.

Cell and atoms, written as CIF:
```
data_Na2CuMo
_cell_length_a 8.3878
_cell_length_b 8.3878
_cell_length_c 5.4031
_cell_angle_alpha 90.00
_cell_angle_beta 90.00
_cell_angle_gamma 90.00
_symmetry_space_group_name_H-M 'I -4 2 d'
_symmetry_Int_Tables_number 122
_symmetry_space_group_name_Hall 'I -4 2bw'
loop_
_atom_site_label
_atom_site_type_symbol
_atom_site_fract_x
_atom_site_fract_y
_atom_site_fract_z
_atom_site_occupancy
Na1 Na 0.2003 0.7500 0.1250 1
Cu1 Cu 0.0000 0.0000 0.0000 1
Mo1 Mo 0.0000 0.0000 0.5000 1
```

## Properties
V = 380.1 Å³ per cell
Total magnetization = 4.4 μB/f.u.
Fermi-level density of states = 7.67 states/eV/cell

---

#Q
DFT (PBE) results for a relaxed Na2CuMo crystal.

Cell and atoms, written as CIF:
```
data_Na2CuMo
_cell_length_a 7.0490
_cell_length_b 7.0490
_cell_length_c 7.0490
_cell_angle_alpha 90.00
_cell_angle_beta 90.00
_cell_angle_gamma 90.00
_symmetry_space_group_name_H-M 'F m -3 m'
_symmetry_Int_Tables_number 225
_symmetry_space_group_name_Hall '-F 4 2 3'
loop_
_atom_site_label
_atom_site_type_symbol
_atom_site_fract_x
_atom_site_fract_y
_atom_site_fract_z
_atom_site_occupancy
Na1 Na 0.2500 0.2500 0.2500 1
Cu1 Cu 0.0000 0.0000 0.0000 1
Mo1 Mo 0.0000 0.0000 0.5000 1
```

## Properties
V = 350.3 Å³ per cell
Total magnetization = 4.4 μB/f.u.
Fermi-level density of states = 7.38 states/eV/cell

---

Which of them is most stable, and which least? Most stable: #P; least stable: #Q.

---

#P
DFT (PBE) results for a relaxed Na2Cu2Mo crystal.

Cell and atoms, written as CIF:
```
data_Na2Cu2Mo
_cell_length_a 8.1914
_cell_length_b 8.1914
_cell_length_c 2.5304
_cell_angle_alpha 90.00
_cell_angle_beta 90.00
_cell_angle_gamma 90.00
_symmetry_space_group_name_H-M 'P 4/m b m'
_symmetry_Int_Tables_number 127
_symmetry_space_group_name_Hall '-P 4 2ab'
loop_
_atom_site_label
_atom_site_type_symbol
_atom_site_fract_x
_atom_site_fract_y
_atom_site_fract_z
_atom_site_occupancy
Na1 Na 0.1252 0.3748 0.0000 1
Cu1 Cu 0.1783 0.6783 0.5000 1
Mo1 Mo 0.0000 0.0000 0.5000 1
```

## Properties
V = 169.8 Å³ per cell
Total magnetization = 0.0 μB/f.u.
Fermi-level density of states = 5.58 states/eV/cell

---

#Q
DFT (PBE) results for a relaxed Na2Cu2Mo crystal.

Cell and atoms, written as CIF:
```
data_Na2Cu2Mo
_cell_length_a 3.5966
_cell_length_b 3.5966
_cell_length_c 13.4100
_cell_angle_alpha 90.00
_cell_angle_beta 90.00
_cell_angle_gamma 90.00
_symmetry_space_group_name_H-M 'I 4/m m m'
_symmetry_Int_Tables_number 139
_symmetry_space_group_name_Hall '-I 4 2'
loop_
_atom_site_label
_atom_site_type_symbol
_atom_site_fract_x
_atom_site_fract_y
_atom_site_fract_z
_atom_site_occupancy
Na1 Na 0.0000 0.5000 0.2500 1
Cu1 Cu 0.0000 0.0000 0.0851 1
Mo1 Mo 0.0000 0.0000 0.5000 1
```

## Properties
V = 173.5 Å³ per cell
Total magnetization = 2.0 μB/f.u.
Fermi-level density of states = 5.75 states/eV/cell

---

Which of them is most stable, and which least? Most stable: #P; least stable: #Q.

---

#P
DFT (PBE) results for a relaxed NaCuMo crystal.

Cell and atoms, written as CIF:
```
data_NaCuMo
_cell_length_a 8.1914
_cell_length_b 3.1889
_cell_length_c 8.4283
_cell_angle_alpha 90.00
_cell_angle_beta 90.00
_cell_angle_gamma 90.00
_symmetry_space_group_name_H-M 'P n m a'
_symmetry_Int_Tables_number 62
loop_
_symmetry_equiv_pos_as_xyz
'x,y,z'
'-x,-y,-z'
'-x+1/2,-y,z+1/2'
'x+1/2,y,-z+1/2'
'x+1/2,-y+1/2,-z+1/2'
'-x+1/2,y+1/2,z+1/2'
'-x,y+1/2,-z'
'x,-y+1/2,z'
loop_
_atom_site_label
_atom_site_type_symbol
_atom_site_fract_x
_atom_site_fract_y
_atom_site_fract_z
_atom_site_occupancy
Na1 Na 0.0520 0.2500 0.1495 1
Cu1 Cu 0.2484 0.2500 0.8452 1
Mo1 Mo 0.0956 0.2500 0.5487 1
```

## Properties
V = 220.2 Å³ per cell
Total magnetization = 0.0 μB/f.u.
Fermi-level density of states = 8.39 states/eV/cell

---

#Q
DFT (PBE) results for a relaxed NaCuMo crystal.

Cell and atoms, written as CIF:
```
data_NaCuMo
_cell_length_a 11.2189
_cell_length_b 4.8000
_cell_length_c 4.6829
_cell_angle_alpha 90.00
_cell_angle_beta 90.00
_cell_angle_gamma 90.00
_symmetry_space_group_name_H-M 'P n m a'
_symmetry_Int_Tables_number 62
loop_
_symmetry_equiv_pos_as_xyz
'x,y,z'
'-x,-y,-z'
'-x+1/2,-y,z+1/2'
'x+1/2,y,-z+1/2'
'x+1/2,-y+1/2,-z+1/2'
'-x+1/2,y+1/2,z+1/2'
'-x,y+1/2,-z'
'x,-y+1/2,z'
loop_
_atom_site_label
_atom_site_type_symbol
_atom_site_fract_x
_atom_site_fract_y
_atom_site_fract_z
_atom_site_occupancy
Na1 Na 0.2421 0.2500 0.0078 1
Cu1 Cu 0.0000 0.0000 0.0000 1
Mo1 Mo 0.0164 0.2500 0.5004 1
```

## Properties
V = 252.2 Å³ per cell
Total magnetization = 0.0 μB/f.u.
Fermi-level density of states = 13.68 states/eV/cell

---

Which of them is most stable, and which least? Most stable: #P; least stable: #Q.

---

#P
DFT (PBE) results for a relaxed NaCuMo3 crystal.

Cell and atoms, written as CIF:
```
data_NaCuMo3
_cell_length_a 4.6180
_cell_length_b 4.6180
_cell_length_c 4.6180
_cell_angle_alpha 90.00
_cell_angle_beta 90.00
_cell_angle_gamma 90.00
_symmetry_space_group_name_H-M 'P m -3 m'
_symmetry_Int_Tables_number 221
_symmetry_space_group_name_Hall '-P 4 2 3'
loop_
_atom_site_label
_atom_site_type_symbol
_atom_site_fract_x
_atom_site_fract_y
_atom_site_fract_z
_atom_site_occupancy
Na1 Na 0.0000 0.0000 0.0000 1
Cu1 Cu 0.5000 0.5000 0.5000 1
Mo1 Mo 0.0000 0.5000 0.5000 1
```

## Properties
V = 98.5 Å³ per cell
Total magnetization = 0.0 μB/f.u.
Fermi-level density of states = 3.62 states/eV/cell

---

#Q
DFT (PBE) results for a relaxed NaCuMo3 crystal.

Cell and atoms, written as CIF:
```
data_NaCuMo3
_cell_length_a 4.4872
_cell_length_b 4.4872
_cell_length_c 4.4872
_cell_angle_alpha 90.00
_cell_angle_beta 90.00
_cell_angle_gamma 90.00
_symmetry_space_group_name_H-M 'P m -3 m'
_symmetry_Int_Tables_number 221
_symmetry_space_group_name_Hall '-P 4 2 3'
loop_
_atom_site_label
_atom_site_type_symbol
_atom_site_fract_x
_atom_site_fract_y
_atom_site_fract_z
_atom_site_occupancy
Na1 Na 0.0000 0.0000 0.0000 1
Cu1 Cu 0.5000 0.5000 0.5000 1
Mo1 Mo 0.0000 0.0000 0.5000 1
```

## Properties
V = 90.3 Å³ per cell
Total magnetization = 0.0 μB/f.u.
Fermi-level density of states = 4.16 states/eV/cell

---

Which of them is most stable, and which least? Most stable: #P; least stable: #Q.

---

#P
DFT (PBE) results for a relaxed NaCu2Mo crystal.

Cell and atoms, written as CIF:
```
data_NaCu2Mo
_cell_length_a 7.1187
_cell_length_b 7.1187
_cell_length_c 5.5661
_cell_angle_alpha 90.00
_cell_angle_beta 90.00
_cell_angle_gamma 90.00
_symmetry_space_group_name_H-M 'I -4 2 d'
_symmetry_Int_Tables_number 122
_symmetry_space_group_name_Hall 'I -4 2bw'
loop_
_atom_site_label
_atom_site_type_symbol
_atom_site_fract_x
_atom_site_fract_y
_atom_site_fract_z
_atom_site_occupancy
Na1 Na 0.0000 0.0000 0.0000 1
Cu1 Cu 0.2300 0.2500 0.6250 1
Mo1 Mo 0.0000 0.0000 0.5000 1
```

## Properties
V = 282.1 Å³ per cell
Total magnetization = 3.0 μB/f.u.
Fermi-level density of states = 5.67 states/eV/cell

---

#Q
DFT (PBE) results for a relaxed NaCu2Mo crystal.

Cell and atoms, written as CIF:
```
data_NaCu2Mo
_cell_length_a 6.2435
_cell_length_b 6.2435
_cell_length_c 6.2435
_cell_angle_alpha 90.00
_cell_angle_beta 90.00
_cell_angle_gamma 90.00
_symmetry_space_group_name_H-M 'F m -3 m'
_symmetry_Int_Tables_number 225
_symmetry_space_group_name_Hall '-F 4 2 3'
loop_
_atom_site_label
_atom_site_type_symbol
_atom_site_fract_x
_atom_site_fract_y
_atom_site_fract_z
_atom_site_occupancy
Na1 Na 0.0000 0.0000 0.0000 1
Cu1 Cu 0.2500 0.2500 0.2500 1
Mo1 Mo 0.0000 0.0000 0.5000 1
```

## Properties
V = 243.4 Å³ per cell
Total magnetization = 1.0 μB/f.u.
Fermi-level density of states = 18.95 states/eV/cell

---

Which of them is most stable, and which least? Most stable: #Q; least stable: #P.